Entry 1:
Material: Hf3RuS
Method: DFT, SCAN
State: PBEsol geometry

abc: 4.889 4.889 4.889
angles: 90.00 90.00 90.00
Sites, in units of the cell vectors:
Hf1 0.000 0.000 0.500
Hf2 0.000 0.500 0.000
Hf3 0.500 0.000 0.000
Ru1 0.000 0.000 0.000
S1 0.500 0.500 0.500

Results
Fermi-level density of states (states/eV/atom): 0.81
Raw total energy (eV per atom): -46.231
V (Å³/atom): 23.376
Formation energy (no corrections) (eV/atom): 0.26
Space-group type: Pm-3m

Entry 2:
Material: CaReAg2Br
Method: DFT, SCAN
State: PBEsol geometry

abc: 4.899 4.899 5.767
angles: 90.00 90.00 90.00
Sites, in units of the cell vectors:
Ca1 0.000 0.000 0.000
Re1 0.000 0.000 0.500
Ag1 0.000 0.500 0.500
Ag2 0.500 0.000 0.500
Br1 0.500 0.500 0.000

Results
Fermi-level density of states (states/eV/atom): 0.81
Raw total energy (eV per atom): -31.655
V (Å³/atom): 27.683
Formation energy (no corrections) (eV/atom): 0.94
Space-group type: P4/mmm

Entry 3:
Material: GaW3O
Method: DFT, SCAN
State: PBEsol geometry

abc: 4.088 4.088 4.088
angles: 90.00 90.00 90.00
Sites, in units of the cell vectors:
Ga1 0.000 0.000 0.000
W1 0.000 0.500 0.500
W2 0.500 0.000 0.500
W3 0.500 0.500 0.000
O1 0.500 0.500 0.500

Results
Fermi-level density of states (states/eV/atom): 0.35
Raw total energy (eV per atom): -46.125
V (Å³/atom): 13.665
Formation energy (no corrections) (eV/atom): 0.20
Space-group type: Pm-3m

Entry 4:
Material: Tl2HgCl
Method: DFT, SCAN
State: PBEsol geometry

abc: 5.382 5.382 3.574
angles: 90.00 90.00 90.00
Sites, in units of the cell vectors:
Tl1 0.000 0.500 0.000
Tl2 0.500 0.000 0.000
Hg1 0.000 0.000 0.500
Cl1 0.500 0.500 0.500

Results
Fermi-level density of states (states/eV/atom): 0.38
Raw total energy (eV per atom): -55.679
E above lowest polymorph (eV/atom): 0.018
V (Å³/atom): 25.883
Formation energy (no corrections) (eV/atom): -0.46
Space-group type: P4/mmm

Entry 5:
Material: Hf2ZrMnCu
Method: DFT, SCAN
State: PBEsol geometry

abc: 4.805 4.805 4.420
angles: 90.00 90.00 90.00
Sites, in units of the cell vectors:
Hf1 0.000 0.500 0.000
Hf2 0.500 0.000 0.000
Zr1 0.000 0.000 0.500
Mn1 0.500 0.500 0.500
Cu1 0.500 0.500 0.000

Results
Fermi-level density of states (states/eV/atom): 1.10
Energy relative to the elements (meV per atom): 465
Raw total energy (eV per atom): -37.435
V (Å³/atom): 20.408
Space-group type: P4/mmm

Entry 6:
Material: MgFe
Method: DFT, SCAN
State: PBEsol geometry

abc: 4.471 4.471 5.063
angles: 90.00 90.00 120.00
Sites, in units of the cell vectors:
Mg1 0.333 0.667 0.250
Mg2 0.667 0.333 0.750
Fe1 0.333 0.667 0.750
Fe2 0.667 0.333 0.250

Results
Fermi-level density of states (states/eV/atom): 0.93
Energy relative to the elements (meV per atom): 1336
Raw total energy (eV per atom): -10.216
V (Å³/atom): 21.915
Space-group type: P6_3/mmc

Entry 7:
Material: SrZrRh2
Method: DFT, SCAN
State: PBEsol geometry

abc: 3.274 3.274 7.335
angles: 90.00 90.00 90.00
Sites, in units of the cell vectors:
Sr1 0.000 0.000 0.000
Zr1 0.000 0.000 0.500
Rh1 0.500 0.500 0.298
Rh2 0.500 0.500 0.702

Results
Fermi-level density of states (states/eV/atom): 0.36
Energy relative to the elements (meV per atom): -651
Raw total energy (eV per atom): -30.781
V (Å³/atom): 19.655
Space-group type: P4/mmm

Entry 8:
Material: Sc4AgPb
Method: DFT, SCAN
State: PBEsol geometry

abc: 5.749 5.749 5.749
angles: 60.00 60.00 60.00
Sites, in units of the cell vectors:
Sc1 0.125 0.125 0.125
Sc2 0.125 0.125 0.624
Sc3 0.125 0.624 0.125
Sc4 0.624 0.125 0.125
Ag1 0.750 0.750 0.750
Pb1 0.500 0.500 0.500

Results
Fermi-level density of states (states/eV/atom): 1.05
Energy relative to the elements (meV per atom): 206
Raw total energy (eV per atom): -27.144
V (Å³/atom): 22.389
Space-group type: F-43m

Entry 9:
Material: ZrNiBi2Sb
Method: DFT, SCAN
State: PBEsol geometry

abc: 5.534 5.534 5.396
angles: 90.00 90.00 90.00
Sites, in units of the cell vectors:
Zr1 0.000 0.000 0.000
Ni1 0.500 0.500 0.500
Bi1 0.000 0.500 0.000
Bi2 0.500 0.000 0.000
Sb1 0.000 0.000 0.500

Results
Fermi-level density of states (states/eV/atom): 1.14
Raw total energy (eV per atom): -47.397
V (Å³/atom): 33.056
Formation energy (no corrections) (eV/atom): 0.86
Space-group type: P4/mmm

Entry 10:
Material: MgTlRh
Method: DFT, SCAN
State: PBEsol geometry

abc: 4.516 4.516 3.077
angles: 90.00 90.00 120.00
Sites, in units of the cell vectors:
Mg1 0.000 0.000 0.000
Tl1 0.667 0.333 0.597
Rh1 0.333 0.667 0.351

Results
Fermi-level density of states (states/eV/atom): 0.37
Energy relative to the elements (meV per atom): -117
Raw total energy (eV per atom): -37.152
V (Å³/atom): 18.115
Space-group type: P3m1

Entry 11:
Material: CuAgCl2
Method: DFT, SCAN
State: PBEsol geometry

abc: 4.599 4.599 4.599
angles: 60.00 60.00 60.00
Sites, in units of the cell vectors:
Cu1 0.000 0.000 0.000
Ag1 0.750 0.750 0.750
Cl1 0.250 0.250 0.250
Cl2 0.500 0.500 0.500

Results
Fermi-level density of states (states/eV/atom): 0.60
Raw total energy (eV per atom): -15.451
V (Å³/atom): 17.193
Formation energy (no corrections) (eV/atom): 0.18
Space-group type: F-43m

Entry 12:
Material: YCo4Ir
Method: DFT, SCAN
State: PBEsol geometry

abc: 4.811 4.811 4.811
angles: 60.00 60.00 60.00
Sites, in units of the cell vectors:
Y1 0.000 0.000 0.000
Co1 0.376 0.376 0.376
Co2 0.376 0.376 0.873
Co3 0.376 0.873 0.376
Co4 0.873 0.376 0.376
Ir1 0.750 0.750 0.750

Results
Fermi-level density of states (states/eV/atom): 0.86
Energy relative to the elements (meV per atom): -95
Raw total energy (eV per atom): -28.121
V (Å³/atom): 13.126
Space-group type: F-43m

Entry 13:
Material: Sr2CaBBr
Method: DFT, SCAN
State: PBEsol geometry

abc: 5.701 5.701 5.328
angles: 90.00 90.00 90.00
Sites, in units of the cell vectors:
Sr1 0.000 0.500 0.000
Sr2 0.500 0.000 0.000
Ca1 0.000 0.000 0.500
B1 0.500 0.500 0.500
Br1 0.000 0.000 0.000

Results
Fermi-level density of states (states/eV/atom): 0.75
Raw total energy (eV per atom): -15.814
V (Å³/atom): 34.633
Formation energy (no corrections) (eV/atom): 0.41
Space-group type: P4/mmm

Entry 14:
Material: Ba5Tl4
Method: DFT, SCAN
State: PBEsol geometry

abc: 10.298 10.298 7.647
angles: 90.00 90.00 120.00
Sites, in units of the cell vectors:
Ba1 0.000 0.292 0.250
Ba2 0.000 0.708 0.750
Ba3 0.292 0.000 0.250
Ba4 0.292 0.292 0.750
Ba5 0.333 0.667 0.000
Ba6 0.333 0.667 0.500
Ba7 0.667 0.333 0.000
Ba8 0.667 0.333 0.500
Ba9 0.708 0.000 0.750
Ba10 0.708 0.708 0.250
Tl1 0.000 0.000 0.000
Tl2 0.000 0.000 0.500
Tl3 0.000 0.369 0.750
Tl4 0.000 0.631 0.250
Tl5 0.369 0.000 0.750
Tl6 0.369 0.369 0.250
Tl7 0.631 0.000 0.250
Tl8 0.631 0.631 0.750

Results
Fermi-level density of states (states/eV/atom): 1.28
Energy relative to the elements (meV per atom): -445
Raw total energy (eV per atom): -54.576
V (Å³/atom): 39.016
Space-group type: P6_3/mcm

Entry 15:
Material: RhAu
Method: DFT, SCAN
State: PBEsol geometry

abc: 2.768 2.768 7.947
angles: 90.00 90.00 90.00
Sites, in units of the cell vectors:
Rh1 0.250 0.250 0.107
Rh2 0.750 0.750 0.893
Au1 0.250 0.250 0.637
Au2 0.750 0.750 0.363

Results
Fermi-level density of states (states/eV/atom): 0.87
Energy relative to the elements (meV per atom): 79
Raw total energy (eV per atom): -51.385
V (Å³/atom): 15.219
Space-group type: P4/nmm

Entry 16:
Material: Li4Cr3GaO8
Method: DFT, SCAN
State: PBEsol geometry

abc: 5.030 5.043 5.823
angles: 90.00 106.82 99.62
Sites, in units of the cell vectors:
Li1 0.000 0.248 0.126
Li2 0.000 0.752 0.874
Li3 0.002 0.750 0.376
Li4 0.998 0.250 0.624
Cr1 0.500 0.000 0.250
Cr2 0.500 0.000 0.750
Cr3 0.500 0.500 0.500
Ga1 0.500 0.500 0.000
O1 0.273 0.127 0.943
O2 0.274 0.629 0.195
O3 0.274 0.630 0.692
O4 0.278 0.130 0.445
O5 0.722 0.870 0.555
O6 0.726 0.370 0.308
O7 0.726 0.371 0.805
O8 0.727 0.873 0.057

Results
Fermi-level density of states (states/eV/atom): 0.00
Raw total energy (eV per atom): -10.618
V (Å³/atom): 8.702
Formation energy (no corrections) (eV/atom): -2.44
Space-group type: P-1

Entry 17:
Material: KMn
Method: DFT, SCAN
State: PBEsol geometry

abc: 10.176 10.176 3.921
angles: 90.00 90.00 161.40
Sites, in units of the cell vectors:
K1 0.103 0.897 0.750
K2 0.897 0.103 0.250
Mn1 0.264 0.736 0.750
Mn2 0.736 0.264 0.250

Results
Fermi-level density of states (states/eV/atom): 0.77
Energy relative to the elements (meV per atom): 506
Raw total energy (eV per atom): -12.786
E above lowest polymorph (eV/atom): 0.000
V (Å³/atom): 32.374
Space-group type: Cmcm

Entry 18:
Material: BaTe3
Method: DFT, SCAN
State: PBEsol geometry

abc: 7.915 7.915 4.251
angles: 90.00 90.00 90.00
Sites, in units of the cell vectors:
Ba1 0.000 0.000 0.000
Ba2 0.500 0.500 0.000
Te1 0.000 0.500 0.019
Te2 0.193 0.307 0.501
Te3 0.307 0.807 0.499
Te4 0.500 0.000 0.981
Te5 0.693 0.193 0.499
Te6 0.807 0.693 0.501

Results
Raw total energy (eV per atom): -38.826
V (Å³/atom): 33.288
Formation energy (no corrections) (eV/atom): -1.00
Space-group type: P-42_1m

Entry 19:
Material: Sc2GaC
Method: DFT, SCAN
State: PBEsol geometry

abc: 3.269 3.269 14.529
angles: 90.00 90.00 120.00
Sites, in units of the cell vectors:
Sc1 0.333 0.667 0.085
Sc2 0.333 0.667 0.415
Sc3 0.667 0.333 0.585
Sc4 0.667 0.333 0.915
Ga1 0.333 0.667 0.750
Ga2 0.667 0.333 0.250
C1 0.000 0.000 0.000
C2 0.000 0.000 0.500

Results
Fermi-level density of states (states/eV/atom): 0.59
Energy relative to the elements (meV per atom): -622
Raw total energy (eV per atom): -14.352
V (Å³/atom): 16.806
Space-group type: P6_3/mmc

Entry 20:
Material: RhPbN2
Method: DFT, SCAN
State: PBEsol geometry

abc: 6.578 6.578 6.578
angles: 29.53 29.53 29.53
Sites, in units of the cell vectors:
Rh1 0.000 0.000 0.000
Pb1 0.500 0.500 0.500
N1 0.097 0.097 0.097
N2 0.903 0.903 0.903

Results
Fermi-level density of states (states/eV/atom): 0.45
Raw total energy (eV per atom): -31.017
V (Å³/atom): 15.302
Formation energy (no corrections) (eV/atom): 1.02
Space-group type: R-3m